(1)
Material: Te2IrPt
Method: DFT, PBE
State: optimized geometry

```
data_Te2IrPt
_cell_length_a 3.132
_cell_length_b 4.985
_cell_length_c 10.264
_cell_angle_alpha 90.00
_cell_angle_beta 90.00
_cell_angle_gamma 90.00
_symmetry_space_group_name_H-M 'I m m 2'
_symmetry_Int_Tables_number 44
_symmetry_space_group_name_Hall 'I 2 -2'
loop_
_atom_site_label
_atom_site_fract_x
_atom_site_fract_y
_atom_site_fract_z
Te1 0.000 0.000 0.000
Te2 0.000 0.500 0.204
Ir1 0.000 0.500 0.720
Pt1 0.000 0.000 0.454
```

Values from the calculation:
formation energy (no corrections)	0.3354	eV per atom
density of states at the Fermi level	5.12	states/eV per cell
M_tot	0.000	μB per atom

=====

(2)
Material: PuSiSn2
Method: DFT, PBE
State: optimized geometry

```
data_PuSiSn2
_cell_length_a 4.403
_cell_length_b 4.403
_cell_length_c 4.654
_cell_angle_alpha 90.00
_cell_angle_beta 90.00
_cell_angle_gamma 90.00
_symmetry_space_group_name_H-M 'P 4/m m m'
_symmetry_Int_Tables_number 123
_symmetry_space_group_name_Hall '-P 4 2'
loop_
_atom_site_label
_atom_site_fract_x
_atom_site_fract_y
_atom_site_fract_z
Pu1 0.000 0.000 0.000
Si1 0.500 0.500 0.000
Sn1 0.000 0.500 0.500
```

Values from the calculation:
formation energy (no corrections)	-0.2352	eV per atom
density of states at the Fermi level	8.82	states/eV per cell
M_tot	1.299	μB per atom

=====

(3)
Material: YBe2Se
Method: DFT, PBE
State: optimized geometry

```
data_YBe2Se
_cell_length_a 3.999
_cell_length_b 3.999
_cell_length_c 4.204
_cell_angle_alpha 90.00
_cell_angle_beta 90.00
_cell_angle_gamma 90.00
_symmetry_space_group_name_H-M 'P 4/m m m'
_symmetry_Int_Tables_number 123
_symmetry_space_group_name_Hall '-P 4 2'
loop_
_atom_site_label
_atom_site_fract_x
_atom_site_fract_y
_atom_site_fract_z
Y1 0.000 0.000 0.000
Be1 0.000 0.500 0.500
Se1 0.500 0.500 0.000
```

Values from the calculation:
formation energy (no corrections)	-0.0285	eV per atom
density of states at the Fermi level	2.21	states/eV per cell
M_tot	0.000	μB per atom

=====

- Among the records above, which one has the highest formation energy (no corrections)?
  Te2IrPt

=====

- What is the formula in the third record?
  YBe2Se